(1)
Below is an optimized crystal structure of Li2PtRh, with properties calculated at the PBE level.

Computed properties:
Raw total energy in eV/atom: -4.449
Total magnetic moment in μB/f.u.: 1.0

a b c (Å): 9.3223 9.3223 9.3223
angles (deg): 16.97 16.97 16.97
Closest atoms and distances in Å follow each position.
Positions (direct):
Li1 0.9936 0.9936 0.9936  3 Rh 2.63, 6 Li 2.75
Li2 0.7570 0.7570 0.7570  3 Pt 2.60, 6 Li 2.75
Rh1 0.2508 0.2508 0.2508  3 Li 2.63, 6 Rh 2.75, 3 Pt 2.84
Pt1 0.4985 0.4985 0.4985  3 Li 2.60, 6 Pt 2.75, 3 Rh 2.84



(2)
Below is an optimized crystal structure of Li2PtRh, with properties calculated at the PBE level.

Computed properties:
Raw total energy in eV/atom: -4.581
Total magnetic moment in μB/f.u.: 0.0

a b c (Å): 4.7930 4.7930 2.6121
angles (deg): 90.00 90.00 112.04
Closest atoms and distances in Å follow each position.
Positions (direct):
Li1 0.5000 0.5000 0.0000  4 Li 2.61-2.68, 4 Rh 2.73, 4 Pt 2.73
Li2 0.0000 0.0000 0.0000  4 Li 2.61-2.68, 4 Pt 2.73, 4 Rh 2.73
Pt1 0.5000 0.0000 0.5000  2 Pt 2.61, 2 Rh 2.68, 8 Li 2.73
Rh1 0.0000 0.5000 0.5000  2 Rh 2.61, 2 Pt 2.68, 8 Li 2.73



(3)
Below is an optimized crystal structure of LiPt6Rh5, with properties calculated at the PBE level.

Computed properties:
Raw total energy in eV/atom: -6.358
Total magnetic moment in μB/f.u.: 0.0

a b c (Å): 3.8994 7.7696 7.2613
angles (deg): 122.34 105.58 90.00
Closest atoms and distances in Å follow each position.
Positions (direct):
Pt1 0.1653 0.4115 0.3305  1 Li 2.71, 7 Rh 2.73-2.79, 4 Pt 2.74-2.77
Pt2 0.8347 0.0810 0.6695  1 Li 2.71, 7 Rh 2.73-2.79, 4 Pt 2.74-2.77
Pt3 0.8347 0.5885 0.6695  1 Li 2.71, 7 Rh 2.73-2.79, 4 Pt 2.74-2.77
Pt4 0.1653 0.9190 0.3305  1 Li 2.71, 7 Rh 2.73-2.79, 4 Pt 2.74-2.77
Pt5 0.5000 0.2438 0.0000  6 Rh 2.70-2.79, 2 Li 2.72, 4 Pt 2.74
Pt6 0.5000 0.7562 0.0000  6 Rh 2.70-2.79, 2 Li 2.72, 4 Pt 2.74
Rh1 0.3350 0.3350 0.6699  4 Rh 2.74-2.78, 8 Pt 2.75-2.77
Rh2 0.3350 0.8350 0.6700  8 Pt 2.70-2.79, 2 Li 2.74, 2 Rh 2.78
Rh3 0.0000 0.5000 0.0000  4 Rh 2.74, 8 Pt 2.75-2.79
Rh4 0.6650 0.6650 0.3301  4 Rh 2.74-2.78, 8 Pt 2.75-2.77
Rh5 0.6650 0.1650 0.3300  8 Pt 2.70-2.79, 2 Li 2.74, 2 Rh 2.78
Li1 0.0000 0.0000 0.0000  8 Pt 2.71-2.72, 4 Rh 2.74



(4)
Below is an optimized crystal structure of LiPt4Rh, with properties calculated at the PBE level.

Computed properties:
Raw total energy in eV/atom: -5.559
Total magnetic moment in μB/f.u.: 1.8

a b c (Å): 5.2318 5.2318 5.2318
angles (deg): 60.00 60.00 60.00
Closest atoms and distances in Å follow each position.
Positions (direct):
Li1 0.0000 0.0000 0.0000  12 Pt 3.07, 4 Rh 3.20
Pt1 0.3749 0.3749 0.3749  6 Pt 2.61-2.62
Pt2 0.3749 0.3749 0.8752  6 Pt 2.61-2.62
Pt3 0.3749 0.8752 0.3749  6 Pt 2.61-2.62
Pt4 0.8752 0.3749 0.3749  6 Pt 2.61-2.62
Rh1 0.7500 0.7500 0.7500  12 Pt 3.07, 4 Li 3.20



(5)
Below is an optimized crystal structure of LiPt4Rh, with properties calculated at the PBE level.

Computed properties:
Raw total energy in eV/atom: -5.692
Total magnetic moment in μB/f.u.: 0.0

a b c (Å): 4.2698 9.2050 7.8884
angles (deg): 135.14 122.75 62.40
Closest atoms and distances in Å follow each position.
Positions (direct):
Pt1 0.3478 0.2599 0.8579  7 Pt 2.60-2.90, 1 Rh 2.70, 3 Li 2.75-2.89
Pt2 0.6522 0.7401 0.1421  7 Pt 2.60-2.90, 1 Rh 2.70, 3 Li 2.75-2.89
Pt3 0.0958 0.0057 0.3513  7 Pt 2.65-2.95, 1 Li 2.69, 3 Rh 2.76-2.95
Pt4 0.9900 0.4021 0.1421  7 Pt 2.60-2.90, 1 Rh 2.70, 3 Li 2.75-2.89
Pt5 0.2445 0.6544 0.6487  7 Pt 2.65-2.95, 1 Li 2.69, 3 Rh 2.76-2.95
Pt6 0.0100 0.5979 0.8579  7 Pt 2.60-2.90, 1 Rh 2.70, 3 Li 2.75-2.89
Pt7 0.9042 0.9943 0.6487  7 Pt 2.65-2.95, 1 Li 2.69, 3 Rh 2.76-2.95
Pt8 0.7555 0.3456 0.3513  7 Pt 2.65-2.95, 1 Li 2.69, 3 Rh 2.76-2.95
Li1 0.5786 0.3286 0.6572  1 Rh 2.67, 8 Pt 2.69-2.89
Li2 0.4214 0.6714 0.3428  1 Rh 2.67, 8 Pt 2.69-2.89
Rh1 0.6769 0.9269 0.8538  2 Rh 2.63, 1 Li 2.67, 6 Pt 2.70-2.76
Rh2 0.3231 0.0731 0.1462  2 Rh 2.63, 1 Li 2.67, 6 Pt 2.70-2.76



(6)
Below is an optimized crystal structure of LiPt2Rh, with properties calculated at the PBE level.

Computed properties:
Raw total energy in eV/atom: -5.437
Total magnetic moment in μB/f.u.: 1.8

a b c (Å): 4.3670 4.3670 4.3669
angles (deg): 60.00 60.00 60.00
Closest atoms and distances in Å follow each position.
Positions (direct):
Pt1 0.2500 0.2500 0.2499  4 Pt 2.67, 4 Rh 2.67
Pt2 0.0000 0.0000 0.0001  4 Pt 2.67, 4 Li 2.67
Li1 0.7500 0.7500 0.7502  4 Rh 2.67, 4 Pt 2.67
Rh1 0.5001 0.5001 0.4998  4 Li 2.67, 4 Pt 2.67